[1]
Below is an optimized crystal structure of Sr2Zn5Ag5, with properties calculated at the PBE-GGA level.

Lattice parameters (Å, degrees): 4.5187 5.5340 9.9191 90.00 90.00 90.00
Fractional positions:
Zn  0.5000  0.7503  0.7477
Zn  0.5000  0.2497  0.2523
Zn  0.5000  0.0000  0.5000
Zn  0.5000  0.2497  0.7477
Zn  0.5000  0.7503  0.2523
Ag  0.0000  0.5000  0.1800
Ag  0.0000  0.5000  0.8200
Ag  0.5000  0.5000  0.0000
Ag  0.0000  0.0000  0.6683
Ag  0.0000  0.0000  0.3317
Sr  0.0000  0.5000  0.5000
Sr  0.0000  0.0000  0.0000

Properties
- total energy (eV per atom) = -2.211

[2]
Below is an optimized crystal structure of TaAg2, with properties calculated at the PBE-GGA level.

Lattice parameters (Å, degrees): 8.6241 8.6241 8.6241 60.00 60.00 60.00
Site moments in Bohr magnetons follow the coordinates.
Fractional positions:
Ag  0.3750  0.3750  0.3750  0.05
Ag  0.8750  0.3750  0.3750  0.12
Ag  0.3750  0.3750  0.8750  0.04
Ag  0.3750  0.8750  0.3750  0.05
Ta  0.2500  0.2500  0.2500  1.83
Ta  0.5000  0.5000  0.5000  1.84

Properties
- E_form (eV/f.u.) = 7.4

[3]
Below is an optimized crystal structure of TaAg5, with properties calculated at the PBE-GGA level.

Lattice parameters (Å, degrees): 9.7208 9.7208 5.4118 95.64 95.64 117.86
Fractional positions:
Ag  0.1298  0.4744  0.6278
Ag  0.0276  0.1876  0.3615
Ag  0.1876  0.0276  0.3615
Ag  0.0560  0.6676  0.9888
Ag  0.4402  0.7322  0.8233
Ag  0.6206  0.6206  0.1375
Ag  0.4744  0.1298  0.6278
Ag  0.1218  0.1218  0.8945
Ag  0.9723  0.8123  0.6385
Ag  0.3324  0.9441  0.0112
Ag  0.8703  0.5256  0.3722
Ag  0.9441  0.3324  0.0112
Ag  0.2679  0.5598  0.1768
Ag  0.8782  0.8782  0.1054
Ag  0.5598  0.2679  0.1768
Ag  0.6676  0.0560  0.9888
Ag  0.5256  0.8703  0.3722
Ag  0.8123  0.9723  0.6385
Ag  0.7322  0.4402  0.8233
Ag  0.3794  0.3794  0.8624
Ta  0.7788  0.2213  0.5000
Ta  0.2213  0.7788  0.5000
Ta  0.3699  0.3699  0.3806
Ta  0.6299  0.6299  0.6192

Properties
- E_form (eV/f.u.) = 3.0

[4]
Below is an optimized crystal structure of Ta2Ag, with properties calculated at the PBE-GGA level.

Lattice parameters (Å, degrees): 5.2839 5.2839 5.2839 103.54 103.54 122.13
Fractional positions:
Ta  0.3520  0.8520  0.2040
Ta  0.1480  0.3520  0.5000
Ta  0.6480  0.1480  0.7960
Ta  0.8520  0.6480  0.5000
Ag  0.7500  0.7500  0.0000
Ag  0.2500  0.2500  0.0000

Properties
- E_form (eV/f.u.) = 1.5

[5]
Below is an optimized crystal structure of Ta3Ag2, with properties calculated at the PBE-GGA level.

Lattice parameters (Å, degrees): 8.0320 8.0320 2.8144 90.00 90.00 90.00
Fractional positions:
Ag  0.6185  0.8815  0.0000
Ag  0.3815  0.1185  0.0000
Ag  0.8815  0.3815  0.0000
Ag  0.1185  0.6185  0.0000
Ta  0.6803  0.1803  0.5000
Ta  0.3197  0.8197  0.5000
Ta  0.5000  0.5000  0.0000
Ta  0.8197  0.6803  0.5000
Ta  0.1803  0.3197  0.5000
Ta  0.0000  0.0000  0.0000

Properties
- E_form (eV/f.u.) = 3.0

[6]
Below is an optimized crystal structure of TaAg2, with properties calculated at the PBE-GGA level.

Lattice parameters (Å, degrees): 5.3262 5.3262 5.3262 60.00 60.00 60.00
Site moments in Bohr magnetons follow the coordinates.
Fractional positions:
Ag  0.6250  0.6250  0.1250  0.08
Ag  0.6250  0.1250  0.6250  0.08
Ag  0.6250  0.6250  0.6250  0.08
Ag  0.1250  0.6250  0.6250  0.07
Ta  0.0000  0.0000  0.0000  0.76
Ta  0.2500  0.2500  0.2500  0.76

Properties
- E_form (eV/f.u.) = 1.9

[7]
Below is an optimized crystal structure of TaAg2, with properties calculated at the PBE-GGA level.

Lattice parameters (Å, degrees): 5.3039 5.3039 8.6651 90.00 90.00 120.00
Site moments in Bohr magnetons follow the coordinates.
Fractional positions:
Ag  0.1704  0.8296  0.2500  0.03
Ag  0.8296  0.6593  0.7500  0.03
Ag  0.0000  0.0000  0.5000  0.02
Ag  0.1704  0.3407  0.2500  0.03
Ag  0.3407  0.1704  0.7500  0.02
Ag  0.0000  0.0000  0.0000  0.01
Ag  0.8296  0.1704  0.7500  0.03
Ag  0.6593  0.8296  0.2500  0.02
Ta  0.3333  0.6667  0.5486  0.34
Ta  0.6667  0.3333  0.0486  0.31
Ta  0.3333  0.6667  0.9514  0.32
Ta  0.6667  0.3333  0.4514  0.34

Properties
- E_form (eV/f.u.) = 1.8

[8]
Below is an optimized crystal structure of Ta2Ag, with properties calculated at the PBE-GGA level.

Lattice parameters (Å, degrees): 5.4486 5.4486 5.4486 60.00 60.00 60.00
Fractional positions:
Ta  0.6250  0.1250  0.6250
Ta  0.6250  0.6250  0.1250
Ta  0.6250  0.6250  0.6250
Ta  0.1250  0.6250  0.6250
Ag  0.2500  0.2500  0.2500
Ag  0.0000  0.0000  0.0000

Properties
- E_form (eV/f.u.) = 1.7

[9]
Below is an optimized crystal structure of TaTcAg, with properties calculated at the PBE-GGA level.

Lattice parameters (Å, degrees): 4.3741 4.3741 4.3741 60.00 60.00 60.00
Site moments in Bohr magnetons follow the coordinates.
Fractional positions:
Ag  0.5000  0.5000  0.5000  0.05
Ta  0.0000  0.0000  0.0000  0.01
Tc  0.2500  0.2500  0.2500  0.40

Properties
- energy above the most stable polymorph in this dataset (eV/atom) = 0.0185
- E_form (eV/f.u.) = 2.7

[10]
Below is an optimized crystal structure of TaTcAg, with properties calculated at the PBE-GGA level.

Lattice parameters (Å, degrees): 4.3576 4.3576 4.3576 60.00 60.00 60.00
Fractional positions:
Ag  0.7500  0.7500  0.7500
Tc  0.2500  0.2500  0.2500
Ta  0.0000  0.0000  0.0000

Properties
- energy above the most stable polymorph in this dataset (eV/atom) = 0.0000
- E_form (eV/f.u.) = 2.7

[11]
Below is an optimized crystal structure of TaAgTe, with properties calculated at the PBE-GGA level.

Lattice parameters (Å, degrees): 4.5981 4.5981 4.5981 60.00 60.00 60.00
Fractional positions:
Ta  0.7500  0.7500  0.7500
Ag  0.2500  0.2500  0.2500
Te  0.0000  0.0000  0.0000

Properties
- energy above the most stable polymorph in this dataset (eV/atom) = 0.2147

[12]
Below is an optimized crystal structure of TaAgTe, with properties calculated at the PBE-GGA level.

Lattice parameters (Å, degrees): 4.6440 4.6440 4.6440 60.00 60.00 60.00
Fractional positions:
Te  0.7500  0.7500  0.7500
Ta  0.0000  0.0000  0.0000
Ag  0.2500  0.2500  0.2500

Properties
- energy above the most stable polymorph in this dataset (eV/atom) = 0.0000

> Number 2 is which compound?

TaAg2